Entry from Alexandria via LeMat-Bulk: crystalline CrSeO5 at its relaxed geometry (PBE+U).

Cell and atoms, written as extended XYZ:
```
14
Lattice="5.3555 0.0000 0.0000 -0.1586 5.3906 0.0000 -2.3816 -2.4977 6.3247" Properties=species:S:1:pos:R:3 pbc="T T T"
Cr 0.0000 0.0000 0.0000
Cr -1.1908 -1.2489 3.1623
Se 1.3124 2.7622 1.5924
Se 1.5028 0.1307 4.7323
O -1.6660 3.3233 4.6638
O 1.1227 3.8630 0.3350
O 0.2385 2.9370 2.8881
O -0.0592 0.1054 4.1371
O 1.2637 1.2088 0.9944
O 1.5515 1.6840 5.3303
O 2.8745 2.7874 2.1876
O 2.5768 -0.0441 3.4365
O 1.6925 -0.9702 5.9897
O 4.4813 -0.4305 1.6609
```

Values from the calculation:
Total magnetization   0.286 μB/atom
Total DFT energy (no corrections)   -6.04 eV per atom
SG   P-1, No. 2